# Mg3CoCl (meta-GGA SCAN, PBEsol geometry)
data_Mg3CoCl
_chemical_formula_sum 'Mg3 Co1 Cl1'
_space_group_name_H-M_alt 'P m -3 m'
_space_group_IT_number 221
_space_group_name_Hall '-P 4 2 3'
_cell_length_a 4.734
_cell_length_b 4.734
_cell_length_c 4.734
_cell_angle_alpha 90.00
_cell_angle_beta 90.00
_cell_angle_gamma 90.00
loop_
_atom_site_label
_atom_site_type_symbol
_atom_site_fract_x
_atom_site_fract_y
_atom_site_fract_z
Mg1 Mg 0.000 0.000 0.500
Co1 Co 0.500 0.500 0.500
Cl1 Cl 0.000 0.000 0.000
# Distance to the lowest polymorph of the same formula in meV/atom: 109
# DOS at the Fermi energy in states/eV per cell: 0.66
# Raw formation energy in eV per atom: 0.30